[1]
The following is a DFT calculation (PBE) of ZrCdOs2 after structural relaxation.

Calculated values
The density of states at the Fermi level is 4.0 states/eV/f.u. The formation energy from the elements comes out at 0.2774 eV/atom.

Cell lengths 4.9266, 4.9266, 5.0130 Å; angles 76.01, 76.01, 36.30 degrees
Closest atoms and distances in Å follow each position.
Atoms (fractional coordinates):
Cd 0.2500 0.2500 0.2500  6 Os 2.82-2.84, 4 Zr 2.94, 2 Cd 3.07
Os 0.0064 0.0064 0.0163  6 Os 2.78-3.11, 3 Zr 2.79-3.03, 3 Cd 2.82-2.84
Os 0.4936 0.4936 0.4837  6 Os 2.78-3.11, 3 Zr 2.79-3.03, 3 Cd 2.82-2.84
Zr 0.7500 0.7500 0.7500  6 Os 2.79-3.03, 4 Cd 2.94, 2 Zr 3.07

[2]
The following is a DFT calculation (PBE) of Na3Cd2In3 after structural relaxation.

Calculated values
The density of states at the Fermi level is 2.6 states/eV/f.u. The formation energy from the elements comes out at -0.1024 eV/atom.

Cell lengths 4.8001, 4.8530, 9.3949 Å; angles 104.97, 104.71, 90.00 degrees
Closest atoms and distances in Å follow each position.
Atoms (fractional coordinates):
Na 0.3700 0.8700 0.7400  4 Cd 3.15-3.25, 2 Na 3.31, 6 In 3.33-3.42
Na 0.6300 0.1300 0.2600  4 Cd 3.15-3.25, 2 Na 3.31, 6 In 3.33-3.42
Na 0.0000 0.0000 0.0000  4 Na 3.31, 8 In 3.40-3.41
Cd 0.7522 0.7530 0.5061  4 In 3.11-3.16, 4 Na 3.15-3.25, 4 Cd 3.41-3.42
Cd 0.2478 0.2470 0.4939  4 In 3.11-3.16, 4 Na 3.15-3.25, 4 Cd 3.41-3.42
In 0.8652 0.3638 0.7276  4 Cd 3.11-3.16, 2 In 3.38-3.39, 6 Na 3.40-3.42
In 0.5000 0.5000 0.0000  8 Na 3.33-3.41, 4 In 3.38-3.39
In 0.1348 0.6362 0.2724  4 Cd 3.11-3.16, 2 In 3.38-3.39, 6 Na 3.40-3.42

[3]
The following is a DFT calculation (PBE) of Tl2SbHCl6 after structural relaxation.

Calculated values
The density of states at the Fermi level is 0.0 states/eV/f.u. As for the calculated total energy: -3.146 eV per atom.

Cell lengths 7.6059, 6.5198, 9.2520 Å; angles 55.46, 52.73, 72.19 degrees
Closest atoms and distances in Å follow each position.
Atoms (fractional coordinates):
Tl 0.7354 0.2519 0.5762  7 Cl 3.13-3.49
Tl 0.2646 0.7481 0.4238  7 Cl 3.13-3.49
Sb 0.0000 0.0000 0.0000  6 Cl 2.63-2.83
H 0.5000 0.5000 0.0000  2 Cl 1.56
Cl 0.1704 0.1398 0.6063  1 Sb 2.65
Cl 0.7601 0.6264 0.1546  1 Sb 2.63
Cl 0.3694 0.7345 0.0070  1 H 1.56
Cl 0.6306 0.2655 0.9930  1 H 1.56
Cl 0.2399 0.3736 0.8454  1 Sb 2.63
Cl 0.8296 0.8602 0.3937  1 Sb 2.65

[4]
The following is a DFT calculation (PBE) of Pm2MgRu after structural relaxation.

Calculated values
The density of states at the Fermi level is 4.2 states/eV/f.u. The formation energy from the elements comes out at -0.0903 eV/atom.

Cell lengths 5.1500, 5.1500, 5.1500 Å; angles 60.00, 60.00, 60.00 degrees
Closest atoms and distances in Å follow each position.
Atoms (fractional coordinates):
Ru 0.0000 0.0000 0.0000  8 Pm 3.15
Mg 0.5000 0.5000 0.5000  8 Pm 3.15
Pm 0.2500 0.2500 0.2500  4 Ru 3.15, 4 Mg 3.15
Pm 0.7500 0.7500 0.7500  4 Mg 3.15, 4 Ru 3.15